Density functional theory data (PBE) for a relaxed Sn3PI crystal.

The structure in POSCAR format:
```
Sn3PI
1.0
5.8265 0.0000 0.0000
0.0000 5.8265 0.0000
0.0000 0.0000 5.8265
Sn P I
3 1 1
Cartesian
0.0000 0.0000 2.9132
0.0000 2.9132 0.0000
2.9132 0.0000 0.0000
2.9132 2.9132 2.9132
0.0000 0.0000 0.0000
```

Summary:
Symmetry: Pm-3m, No. 221
Formation energy from raw total energies, eV per atom: 1.234
Raw total energy, eV per cell: -12.799
D(E_F), states/eV/cell: 5.101
Energy above the most stable polymorph in this dataset, eV per formula unit: 4.338